The following is a DFT calculation (PBE) of a relaxed NbNiB2Pt crystal.

```
data_NbNiB2Pt
_cell_length_a 4.180
_cell_length_b 4.180
_cell_length_c 4.933
_cell_angle_alpha 90.00
_cell_angle_beta 90.00
_cell_angle_gamma 90.00
_space_group_name_H-M_alt 'P 1'
_space_group_IT_number 1
_space_group_name_Hall 'P 1'
loop_
_atom_site_label
_atom_site_type_symbol
_atom_site_fract_x
_atom_site_fract_y
_atom_site_fract_z
Nb1 Nb 0.000 0.000 0.000
Ni1 Ni 0.500 0.500 0.500
B1 B 0.000 0.500 0.000
B2 B 0.500 0.000 0.000
Pt1 Pt 0.000 0.000 0.500
```

Its volume is 17.24 Å³ per atom. The value obtained for the total energy is -0.3968 Ry/atom.

=====

The following is a DFT calculation (PBE) of a relaxed Nb2NiBRh crystal.

```
data_Nb2NiBRh
_cell_length_a 4.659
_cell_length_b 4.659
_cell_length_c 3.604
_cell_angle_alpha 90.00
_cell_angle_beta 90.00
_cell_angle_gamma 90.00
_space_group_name_H-M_alt 'P 1'
_space_group_IT_number 1
_space_group_name_Hall 'P 1'
loop_
_atom_site_label
_atom_site_type_symbol
_atom_site_fract_x
_atom_site_fract_y
_atom_site_fract_z
Nb1 Nb 0.000 0.500 0.000
Nb2 Nb 0.500 0.000 0.000
Ni1 Ni 0.000 0.000 0.000
B1 B 0.000 0.000 0.500
Rh1 Rh 0.500 0.500 0.500
```

Its volume is 15.65 Å³ per atom. The value obtained for the total energy is -0.5434 Ry/atom.

=====

Number 1: mass density 7096 kg/m³, formation energy 1.65 eV per atom. Number 2: mass density 7604 kg/m³, formation energy 0.60 eV per atom.